Material: FeHgPb2
Method: DFT, PBEsol
State: optimized geometry

abc: 9.090 9.090 9.090
angles: 21.87 21.87 21.87
Fractional coordinates of all 4 atoms:
Fe  0.000  0.000  0.000
Hg  0.500  0.500  0.500
Pb  0.263  0.263  0.263
Pb  0.737  0.737  0.737

Output
**V**: 22.829 Å³/atom
**Formation energy**: 0.38 eV per atom
**Fermi-level density of states**: 0.64 states/eV per atom
**Space-group type**: R-3m (166)

Material: Cd2AgIr
Method: DFT, PBEsol
State: optimized geometry

abc: 2.920 2.920 8.118
angles: 90.00 90.00 90.00
Fractional coordinates of all 4 atoms:
Cd  0.000  0.000  0.000
Cd  0.500  0.500  0.287
Ag  0.500  0.500  0.750
Ir  0.000  0.000  0.519

Output
**V**: 17.302 Å³/atom
**Formation energy**: 0.22 eV per atom
**Fermi-level density of states**: 0.82 states/eV per atom
**Space-group type**: P4mm (99)

Material: Cs2Zn3S4
Method: DFT, PBEsol
State: optimized geometry

abc: 9.321 9.321 9.321
angles: 143.95 105.77 85.39
Fractional coordinates of all 18 atoms:
Cs  0.121  0.234  0.355
Cs  0.379  0.734  0.113
Cs  0.621  0.266  0.887
Cs  0.879  0.766  0.645
Zn  0.024  0.250  0.774
Zn  0.250  0.750  0.500
Zn  0.476  0.250  0.226
Zn  0.524  0.750  0.774
Zn  0.750  0.250  0.500
Zn  0.976  0.750  0.226
S  0.022  0.434  0.146
S  0.212  0.066  0.588
S  0.288  0.876  0.854
S  0.478  0.624  0.412
S  0.522  0.376  0.588
S  0.712  0.124  0.146
S  0.788  0.934  0.412
S  0.978  0.566  0.854

Output
**V**: 24.689 Å³/atom
**Fermi-level density of states**: 0.00 states/eV per atom
**Space-group type**: Ibam (72)
**Energy**: -3.6788 eV/atom

Material: Ba2CuOs
Method: DFT, PBEsol
State: optimized geometry

abc: 7.410 7.410 7.410
angles: 146.22 144.65 49.70
Fractional coordinates of all 4 atoms:
Ba  0.000  0.000  0.000
Ba  0.748  0.248  0.500
Cu  0.331  0.831  0.500
Os  0.402  0.402  0.000

Output
**V**: 32.564 Å³/atom
**Formation energy**: 0.55 eV per atom
**Fermi-level density of states**: 0.93 states/eV per atom
**Space-group type**: Imm2 (44)

Material: LaYI3
Method: DFT, PBEsol
State: optimized geometry

abc: 6.115 6.115 6.115
angles: 90.00 90.00 90.00
Fractional coordinates of all 5 atoms:
La  0.000  0.000  0.000
Y  0.500  0.500  0.500
I  0.000  0.000  0.500
I  0.000  0.500  0.000
I  0.500  0.000  0.000

Output
**V**: 45.732 Å³/atom
**Fermi-level density of states**: 1.29 states/eV per atom
**Space-group type**: Pm-3m (221)
**Energy**: -3.8932 eV/atom

Material: Y3TaAu
Method: DFT, PBEsol
State: optimized geometry

abc: 5.292 5.292 5.292
angles: 90.00 90.00 90.00
Fractional coordinates of all 5 atoms:
Y  0.000  0.000  0.500
Y  0.000  0.500  0.000
Y  0.500  0.000  0.000
Ta  0.000  0.000  0.000
Au  0.500  0.500  0.500

Output
**V**: 29.646 Å³/atom
**Formation energy**: 0.67 eV per atom
**Fermi-level density of states**: 0.77 states/eV per atom
**Space-group type**: Pm-3m (221)

Material: Li2Si2Ni
Method: DFT, PBEsol
State: optimized geometry

abc: 5.851 5.851 4.082
angles: 90.00 90.00 90.00
Fractional coordinates of all 10 atoms:
Li  0.168  0.332  0.000
Li  0.332  0.832  0.000
Li  0.668  0.168  0.000
Li  0.832  0.668  0.000
Si  0.142  0.642  0.500
Si  0.358  0.142  0.500
Si  0.642  0.858  0.500
Si  0.858  0.358  0.500
Ni  0.000  0.000  0.500
Ni  0.500  0.500  0.500

Output
**V**: 13.973 Å³/atom
**Fermi-level density of states**: 0.50 states/eV per atom
**Space-group type**: P4/mbm (127)
**Energy**: -4.6137 eV/atom

Material: SrZnMo2
Method: DFT, PBEsol
State: optimized geometry

abc: 3.251 3.257 7.481
angles: 90.00 92.03 90.00
Fractional coordinates of all 4 atoms:
Sr  0.000  0.000  0.000
Zn  0.522  0.500  0.311
Mo  0.041  0.000  0.512
Mo  0.497  0.500  0.677

Output
**V**: 19.794 Å³/atom
**Formation energy**: 0.36 eV per atom
**Fermi-level density of states**: 0.92 states/eV per atom
**Space-group type**: Pm (6)

Material: KBe2Os
Method: DFT, PBEsol
State: optimized geometry

abc: 4.173 4.173 6.363
angles: 101.45 101.45 40.79
Fractional coordinates of all 4 atoms:
K  0.000  0.000  0.000
Be  0.221  0.221  0.603
Be  0.779  0.779  0.397
Os  0.500  0.500  0.500

Output
**V**: 17.684 Å³/atom
**Formation energy**: 0.55 eV per atom
**Fermi-level density of states**: 0.33 states/eV per atom
**Space-group type**: C2/m (12)

Material: RbNaTa2Cl
Method: DFT, PBEsol
State: optimized geometry

abc: 4.581 4.581 5.970
angles: 90.00 90.00 90.00
Fractional coordinates of all 5 atoms:
Rb  0.000  0.000  0.000
Na  0.500  0.500  0.000
Ta  0.000  0.500  0.500
Ta  0.500  0.000  0.500
Cl  0.500  0.500  0.500

Output
**V**: 25.060 Å³/atom
**Fermi-level density of states**: 0.94 states/eV per atom
**Space-group type**: P4/mmm (123)
**Energy**: -4.8269 eV/atom

Material: Fe3HRh
Method: DFT, PBEsol
State: optimized geometry

abc: 3.554 3.554 3.554
angles: 90.00 90.00 90.00
Fractional coordinates of all 5 atoms:
Fe  0.000  0.000  0.500
Fe  0.000  0.500  0.000
Fe  0.500  0.000  0.000
H  0.000  0.000  0.000
Rh  0.500  0.500  0.500

Output
**V**: 8.981 Å³/atom
**Fermi-level density of states**: 1.16 states/eV per atom
**Space-group type**: Pm-3m (221)
**Energy**: -7.6133 eV/atom

Material: Sr3CaSc
Method: DFT, PBEsol
State: optimized geometry

abc: 6.315 6.315 6.315
angles: 90.00 90.00 90.00
Fractional coordinates of all 5 atoms:
Sr  0.000  0.000  0.500
Sr  0.000  0.500  0.000
Sr  0.500  0.000  0.000
Ca  0.000  0.000  0.000
Sc  0.500  0.500  0.500

Output
**V**: 50.372 Å³/atom
**Formation energy**: 0.97 eV per atom
**Fermi-level density of states**: 1.54 states/eV per atom
**Space-group type**: Pm-3m (221)

Material: Zr2P2Pt
Method: DFT, PBEsol
State: optimized geometry

abc: 5.110 5.110 5.110
angles: 121.57 121.57 87.31
Fractional coordinates of all 5 atoms:
Zr  0.250  0.750  0.500
Zr  0.750  0.250  0.500
P  0.175  0.175  0.000
P  0.825  0.825  0.000
Pt  0.500  0.500  0.000

Output
**V**: 18.401 Å³/atom
**Formation energy**: -0.85 eV per atom
**Fermi-level density of states**: 0.70 states/eV per atom
**Space-group type**: I4/mmm (139)

Material: TePbBrN2
Method: DFT, PBEsol
State: optimized geometry

abc: 4.348 4.348 6.361
angles: 90.00 90.00 90.00
Fractional coordinates of all 5 atoms:
Te  0.000  0.000  0.000
Pb  0.000  0.000  0.500
Br  0.500  0.500  0.000
N  0.000  0.500  0.500
N  0.500  0.000  0.500

Output
**V**: 24.051 Å³/atom
**Fermi-level density of states**: 0.45 states/eV per atom
**Space-group type**: P4/mmm (123)
**Energy**: -3.7500 eV/atom

Material: LiCl3O
Method: DFT, PBEsol
State: optimized geometry

abc: 4.442 4.442 4.442
angles: 90.00 90.00 90.00
Fractional coordinates of all 5 atoms:
Li  0.000  0.000  0.000
Cl  0.000  0.500  0.500
Cl  0.500  0.000  0.500
Cl  0.500  0.500  0.000
O  0.500  0.500  0.500

Output
**V**: 17.525 Å³/atom
**Fermi-level density of states**: 0.48 states/eV per atom
**Space-group type**: Pm-3m (221)
**Energy**: -2.7997 eV/atom

Material: LaMg2P
Method: DFT, PBEsol
State: optimized geometry

abc: 3.446 3.446 7.667
angles: 90.00 90.00 90.00
Fractional coordinates of all 4 atoms:
La  0.000  0.000  0.000
Mg  0.500  0.500  0.319
Mg  0.500  0.500  0.681
P  0.000  0.000  0.500

Output
**V**: 22.763 Å³/atom
**Formation energy**: -0.22 eV per atom
**Fermi-level density of states**: 0.56 states/eV per atom
**Space-group type**: P4/mmm (123)

Material: LaNiPd2
Method: DFT, PBEsol
State: optimized geometry

abc: 4.643 4.643 4.643
angles: 60.00 60.00 60.00
Fractional coordinates of all 4 atoms:
La  0.000  0.000  0.000
Ni  0.500  0.500  0.500
Pd  0.250  0.250  0.250
Pd  0.750  0.750  0.750

Output
**V**: 17.693 Å³/atom
**Formation energy**: -0.29 eV per atom
**Fermi-level density of states**: 0.77 states/eV per atom
**Space-group type**: Fm-3m (225)

Material: LiCu2Ni
Method: DFT, PBEsol
State: optimized geometry

abc: 2.431 2.431 8.316
angles: 90.00 90.00 113.84
Fractional coordinates of all 4 atoms:
Li  0.000  0.000  0.000
Cu  0.000  0.000  0.512
Cu  0.500  0.500  0.261
Ni  0.500  0.500  0.755

Output
**V**: 11.240 Å³/atom
**ΔE to the lowest computed polymorph**: 0.056 eV per atom
**Formation energy**: 0.04 eV per atom
**Fermi-level density of states**: 0.42 states/eV per atom
**Space-group type**: Cmm2 (35)

Material: SiS2IN
Method: DFT, PBEsol
State: optimized geometry

abc: 5.101 5.101 3.882
angles: 90.00 90.00 90.00
Fractional coordinates of all 5 atoms:
Si  0.000  0.000  0.000
S  0.000  0.500  0.500
S  0.500  0.000  0.500
I  0.500  0.500  0.500
N  0.500  0.500  0.000

Output
**V**: 20.200 Å³/atom
**Fermi-level density of states**: 0.16 states/eV per atom
**Space-group type**: P4/mmm (123)
**Energy**: -3.6214 eV/atom

Material: ScSnOF2
Method: DFT, PBEsol
State: optimized geometry

abc: 4.213 4.213 4.053
angles: 90.00 90.00 90.00
Fractional coordinates of all 5 atoms:
Sc  0.000  0.000  0.000
Sn  0.500  0.500  0.500
O  0.000  0.000  0.500
F  0.000  0.500  0.000
F  0.500  0.000  0.000

Output
**V**: 14.386 Å³/atom
**Fermi-level density of states**: 0.41 states/eV per atom
**Space-group type**: P4/mmm (123)
**Energy**: -6.4950 eV/atom

Material: TcAs2Br
Method: DFT, PBEsol
State: optimized geometry

abc: 4.845 4.845 2.950
angles: 90.00 90.00 90.00
Fractional coordinates of all 4 atoms:
Tc  0.000  0.000  0.000
As  0.000  0.500  0.500
As  0.500  0.000  0.500
Br  0.500  0.500  0.000

Output
**V**: 17.316 Å³/atom
**ΔE to the lowest computed polymorph**: 0.810 eV per atom
**Fermi-level density of states**: 1.07 states/eV per atom
**Space-group type**: P4/mmm (123)

Material: YAg3Hg
Method: DFT, PBEsol
State: optimized geometry

abc: 5.037 5.037 5.037
angles: 90.00 90.00 90.00
Fractional coordinates of all 5 atoms:
Y  0.000  0.000  0.000
Ag  0.000  0.500  0.500
Ag  0.500  0.000  0.500
Ag  0.500  0.500  0.000
Hg  0.500  0.500  0.500

Output
**V**: 25.559 Å³/atom
**Formation energy**: 0.44 eV per atom
**Fermi-level density of states**: 0.68 states/eV per atom
**Space-group type**: Pm-3m (221)

Material: YBr
Method: DFT, PBEsol
State: optimized geometry

abc: 4.061 4.061 4.061
angles: 60.00 60.00 60.00
Fractional coordinates of all 2 atoms:
Y  0.000  0.000  0.000
Br  0.500  0.500  0.500

Output
**V**: 23.684 Å³/atom
**Fermi-level density of states**: 0.75 states/eV per atom
**Space-group type**: Fm-3m (225)
**Energy**: -5.2126 eV/atom

Material: AgTe6Mo6
Method: DFT, PBEsol
State: optimized geometry

abc: 9.032 9.032 9.127
angles: 118.53 118.53 29.16
Fractional coordinates of all 13 atoms:
Ag  0.000  0.000  0.000
Te  0.114  0.114  0.639
Te  0.182  0.182  0.097
Te  0.461  0.461  0.752
Te  0.539  0.539  0.248
Te  0.818  0.818  0.903
Te  0.886  0.886  0.361
Mo  0.152  0.152  0.375
Mo  0.284  0.284  0.689
Mo  0.315  0.315  0.434
Mo  0.685  0.685  0.566
Mo  0.716  0.716  0.311
Mo  0.848  0.848  0.625

Output
**V**: 24.271 Å³/atom
**Fermi-level density of states**: 0.28 states/eV per atom
**Space-group type**: C2/m (12)
**Energy**: -7.5126 eV/atom

Material: Sm4Ga16Co3
Method: DFT, PBEsol
State: optimized geometry

abc: 5.977 5.977 11.042
angles: 90.00 90.00 90.00
Fractional coordinates of all 23 atoms:
Sm  0.000  0.500  0.195
Sm  0.000  0.500  0.805
Sm  0.500  0.000  0.195
Sm  0.500  0.000  0.805
Ga  0.000  0.000  0.194
Ga  0.000  0.000  0.806
Ga  0.219  0.219  0.000
Ga  0.219  0.781  0.000
Ga  0.251  0.251  0.386
Ga  0.251  0.251  0.614
Ga  0.251  0.749  0.386
Ga  0.251  0.749  0.614
Ga  0.500  0.500  0.218
Ga  0.500  0.500  0.782
Ga  0.749  0.251  0.386
Ga  0.749  0.251  0.614
Ga  0.749  0.749  0.386
Ga  0.749  0.749  0.614
Ga  0.781  0.219  0.000
Ga  0.781  0.781  0.000
Co  0.000  0.500  0.500
Co  0.500  0.000  0.500
Co  0.500  0.500  0.000

Output
**V**: 17.150 Å³/atom
**Formation energy**: -0.57 eV per atom
**Fermi-level density of states**: 0.18 states/eV per atom
**Space-group type**: P4/mmm (123)

Material: ErP2Pd2
Method: DFT, PBEsol
State: optimized geometry

abc: 5.651 5.651 5.651
angles: 138.29 138.29 60.46
Fractional coordinates of all 5 atoms:
Er  0.000  0.000  0.000
P  0.389  0.389  0.000
P  0.611  0.611  0.000
Pd  0.250  0.750  0.500
Pd  0.750  0.250  0.500

Output
**V**: 15.805 Å³/atom
**Formation energy**: -0.99 eV per atom
**Fermi-level density of states**: 0.24 states/eV per atom
**Space-group type**: I4/mmm (139)

Material: Co2IrSe
Method: DFT, PBEsol
State: optimized geometry

abc: 4.286 2.797 4.450
angles: 90.00 107.94 90.00
Fractional coordinates of all 4 atoms:
Co  0.000  0.000  0.000
Co  0.000  0.500  0.500
Ir  0.500  0.000  0.500
Se  0.500  0.500  0.000

Output
**V**: 12.690 Å³/atom
**Fermi-level density of states**: 1.34 states/eV per atom
**Space-group type**: P2/m (10)
**Energy**: -6.9276 eV/atom